(1)
Crystalline AcPm2Sc at its relaxed geometry. Source: the Alexandria database, functional PBE.

```
data_AcPm2Sc
_space_group_name_H-M_alt 'R -3 m'
_space_group_IT_number 166
_space_group_name_Hall '-R 3 2"'
_cell_length_a 3.5850
_cell_length_b 3.5850
_cell_length_c 37.6761
_cell_angle_alpha 90.00
_cell_angle_beta 90.00
_cell_angle_gamma 120.00
loop_
_atom_site_label
_atom_site_fract_x
_atom_site_fract_y
_atom_site_fract_z
_atom_site_occupancy
Ac1 0.0000 0.0000 0.0000 1
Pm1 0.0000 0.0000 0.0949 1
Sc1 0.0000 0.0000 0.5000 1
```

Values from the calculation:
Volume, Å³/atom: 34.95

***

(2)
Crystalline AcPm2Sc at its relaxed geometry. Source: the Alexandria database, functional PBE.

```
data_AcPm2Sc
_space_group_name_H-M_alt 'P 4/m m m'
_space_group_IT_number 123
_space_group_name_Hall '-P 4 2'
_cell_length_a 5.0944
_cell_length_b 5.0944
_cell_length_c 5.2276
_cell_angle_alpha 90.00
_cell_angle_beta 90.00
_cell_angle_gamma 90.00
loop_
_atom_site_label
_atom_site_fract_x
_atom_site_fract_y
_atom_site_fract_z
_atom_site_occupancy
Ac1 0.0000 0.0000 0.0000 1
Pm1 0.0000 0.5000 0.5000 1
Sc1 0.5000 0.5000 0.0000 1
```

Values from the calculation:
Volume, Å³/atom: 33.92

***

Here is how they stack up, most stable first: (2), (1).